1.
The following is a PBE-GGA calculation of an optimized crystal structure of TlGa2TcGe, from Alexandria. Values from VASP.

Properties
SG: P4/mmm, No. 123
E_form (eV/f.u.): 0.136

Structure (Quantum ESPRESSO input):
```
&SYSTEM
  ibrav = 0, nat = 5, ntyp = 4
/
ATOMIC_SPECIES
Ga 69.72 Ga.upf
Ge 72.64 Ge.upf
Tl 204.38 Tl.upf
Tc 98.00 Tc.upf
CELL_PARAMETERS angstrom
4.940 0.000 0.000
0.000 4.940 0.000
0.000 0.000 4.810
ATOMIC_POSITIONS crystal
Ga 0.500 0.000 0.000
Ga 0.000 0.500 0.000
Ge 0.000 0.000 0.500
Tl 0.500 0.500 0.500
Tc 0.000 0.000 0.000
```

---

2.
The following is a PBE-GGA calculation of an optimized crystal structure of VGaTcGe, from Alexandria. Values from VASP.

Properties
SG: F-43m, No. 216
E_form (eV/f.u.): -0.235

Structure (Quantum ESPRESSO input):
```
&SYSTEM
  ibrav = 0, nat = 4, ntyp = 4
/
ATOMIC_SPECIES
Ge 72.64 Ge.upf
V 50.94 V.upf
Ga 69.72 Ga.upf
Tc 98.00 Tc.upf
CELL_PARAMETERS angstrom
-3.965 -0.695 -1.626
-3.269 -1.087 2.641
-3.194 2.834 0.781
ATOMIC_POSITIONS crystal
Ge 0.250 0.250 0.250
V 0.500 0.500 0.500
Ga 0.750 0.750 0.750
Tc 0.000 0.000 0.000
```

---

3.
The following is a PBE-GGA calculation of an optimized crystal structure of YGa2Tc2Ge, from Alexandria. Values from VASP.

Properties
SG: P4/mmm, No. 123
E_form (eV/f.u.): -0.529

Structure (Quantum ESPRESSO input):
```
&SYSTEM
  ibrav = 0, nat = 6, ntyp = 4
/
ATOMIC_SPECIES
Y 88.91 Y.upf
Tc 98.00 Tc.upf
Ga 69.72 Ga.upf
Ge 72.64 Ge.upf
CELL_PARAMETERS angstrom
-4.466 0.179 1.122
1.019 -1.377 4.278
0.603 5.280 1.557
ATOMIC_POSITIONS crystal
Y 0.000 0.000 0.500
Tc 0.500 0.000 0.000
Tc 0.000 0.500 0.000
Ga 0.500 0.500 0.739
Ga 0.500 0.500 0.261
Ge 0.000 0.000 0.000
```

---

4.
The following is a PBE-GGA calculation of an optimized crystal structure of YGaTc2Ge, from Alexandria. Values from VASP.

Properties
SG: P4/mmm, No. 123
E_form (eV/f.u.): 3.548

Structure (Quantum ESPRESSO input):
```
&SYSTEM
  ibrav = 0, nat = 5, ntyp = 4
/
ATOMIC_SPECIES
Y 88.91 Y.upf
Tc 98.00 Tc.upf
Ge 72.64 Ge.upf
Ga 69.72 Ga.upf
CELL_PARAMETERS angstrom
4.625 0.000 0.000
0.000 4.625 0.000
0.000 0.000 5.201
ATOMIC_POSITIONS crystal
Y 0.000 0.000 0.500
Tc 0.000 0.500 0.000
Tc 0.500 0.000 0.000
Ge 0.000 0.000 0.000
Ga 0.500 0.500 0.500
```

---

| no. | V (Å³ per cell) | magnetic moment (μB per formula unit) |
| --- | --- | --- |
| 1 | 117 | 0.000 |
| 2 | 58 | 1.680 |
| 3 | 118 | 0.000 |
| 4 | 111 | 1.977 |